{
  "formula": "V2Cu3H2O9",
  "functional": "PBE+U",
  "state": "relaxed",
  "magmom_total_mub_per_fu": 2.89,
  "mass_density_g_cm3": 3.2,
  "cell": [[5.537, -2.822, 0.000], [5.537, 2.822, 0.000], [-1.189, 0.000, 7.344]],
  "species": ["V", "V", "Cu", "Cu", "Cu", "H", "H", "O", "O", "O", "O", "O", "O", "O", "O", "O"],
  "frac_coords": [[0.006, 0.006, 0.243], [0.994, 0.994, 0.757], [0.000, 0.500, 0.500], [0.500, 0.000, 0.500], [0.500, 0.500, 0.500], [0.325, 0.325, 0.987], [0.675, 0.675, 0.013], [0.000, 0.000, 0.000], [0.166, 0.166, 0.361], [0.176, 0.694, 0.310], [0.306, 0.824, 0.690], [0.350, 0.350, 0.592], [0.650, 0.650, 0.408], [0.694, 0.176, 0.310], [0.824, 0.306, 0.690], [0.834, 0.834, 0.639]]
}

=====

{
  "formula": "K2MgFeF6",
  "functional": "PBE+U",
  "state": "relaxed",
  "magmom_total_mub_per_fu": 4.00,
  "mass_density_g_cm3": 3.2,
  "cell": [[-2.928, 2.928, 4.067], [2.928, -2.928, 4.067], [2.928, 2.928, -4.067]],
  "species": ["K", "K", "Mg", "Fe", "F", "F", "F", "F", "F", "F"],
  "frac_coords": [[0.250, 0.750, 0.500], [0.750, 0.250, 0.500], [0.000, 0.000, 0.000], [0.500, 0.500, 0.000], [0.243, 0.243, 0.486], [0.243, 0.757, 0.000], [0.249, 0.249, 0.000], [0.751, 0.751, 0.000], [0.757, 0.243, 0.000], [0.757, 0.757, 0.514]]
}

=====

| no. | E_tot (eV/atom) |
| --- | --- |
| 1 | -5.61 |
| 2 | -5.04 |